Record 1
First-principles (GGA-PBE) data for a relaxed KPBr2 crystal, as listed in Alexandria via LeMat-Bulk.

CIF file:
```
data_KPBr2
_space_group_name_H-M_alt 'P 4/m m m'
_space_group_IT_number 123
_space_group_name_Hall '-P 4 2'
_cell_length_a 5.249
_cell_length_b 5.249
_cell_length_c 3.727
_cell_angle_alpha 90.00
_cell_angle_beta 90.00
_cell_angle_gamma 90.00
loop_
_atom_site_label
_atom_site_fract_x
_atom_site_fract_y
_atom_site_fract_z
K1 0.000 0.000 0.000
P1 0.500 0.500 0.000
Br1 0.000 0.500 0.500
```

* calculated density: 3.717 Mg/m³
* E_form (uncorrected): -0.1718 eV/atom
* crystal system: tetragonal

---

Record 2
First-principles (GGA-PBE) data for a relaxed K2P2Br crystal, as listed in Alexandria via LeMat-Bulk.

CIF file:
```
data_K2P2Br
_space_group_name_H-M_alt 'P 4/m b m'
_space_group_IT_number 127
_space_group_name_Hall '-P 4 2ab'
_cell_length_a 8.673
_cell_length_b 8.673
_cell_length_c 4.218
_cell_angle_alpha 90.00
_cell_angle_beta 90.00
_cell_angle_gamma 90.00
loop_
_atom_site_label
_atom_site_fract_x
_atom_site_fract_y
_atom_site_fract_z
K1 0.207 0.293 0.000
P1 0.081 0.581 0.500
Br1 0.000 0.000 0.500
```

* calculated density: 2.304 Mg/m³
* E_form (uncorrected): -0.6258 eV/atom
* crystal system: tetragonal

---

Record 3
First-principles (GGA-PBE) data for a relaxed K2PBr4 crystal, as listed in Alexandria via LeMat-Bulk.

CIF file:
```
data_K2PBr4
_space_group_name_H-M_alt 'I 4/m m m'
_space_group_IT_number 139
_space_group_name_Hall '-I 4 2'
_cell_length_a 5.399
_cell_length_b 5.399
_cell_length_c 16.246
_cell_angle_alpha 90.00
_cell_angle_beta 90.00
_cell_angle_gamma 90.00
loop_
_atom_site_label
_atom_site_fract_x
_atom_site_fract_y
_atom_site_fract_z
K1 0.000 0.000 0.135
P1 0.000 0.000 0.500
Br1 0.000 0.000 0.339
Br2 0.000 0.500 0.000
```

* calculated density: 3.008 Mg/m³
* E_form (uncorrected): -0.9507 eV/atom
* crystal system: tetragonal

---

Record 4
First-principles (GGA-PBE) data for a relaxed KPBr crystal, as listed in Alexandria via LeMat-Bulk.

CIF file:
```
data_KPBr
_space_group_name_H-M_alt 'F -4 3 m'
_space_group_IT_number 216
_space_group_name_Hall 'F -4 2 3'
_cell_length_a 7.843
_cell_length_b 7.843
_cell_length_c 7.843
_cell_angle_alpha 90.00
_cell_angle_beta 90.00
_cell_angle_gamma 90.00
loop_
_atom_site_label
_atom_site_fract_x
_atom_site_fract_y
_atom_site_fract_z
K1 0.000 0.000 0.000
P1 0.250 0.250 0.750
Br1 0.250 0.250 0.250
```

* calculated density: 2.065 Mg/m³
* E_form (uncorrected): 0.0797 eV/atom
* crystal system: cubic

---

Record 5
First-principles (GGA-PBE) data for a relaxed K3P5Br12 crystal, as listed in Alexandria via LeMat-Bulk.

CIF file:
```
data_K3P5Br12
_space_group_name_H-M_alt 'I a -3 d'
_space_group_IT_number 230
_space_group_name_Hall '-I 4bd 2c 3'
_cell_length_a 17.992
_cell_length_b 17.992
_cell_length_c 17.992
_cell_angle_alpha 90.00
_cell_angle_beta 90.00
_cell_angle_gamma 90.00
loop_
_atom_site_label
_atom_site_fract_x
_atom_site_fract_y
_atom_site_fract_z
K1 0.000 0.250 0.125
P1 0.000 0.000 0.000
P2 0.000 0.250 0.375
Br1 0.033 0.142 0.959
```

* calculated density: 2.808 Mg/m³
* E_form (uncorrected): -0.3105 eV/atom
* crystal system: cubic

---

Record 6
First-principles (GGA-PBE) data for a relaxed KPBr2 crystal, as listed in Alexandria via LeMat-Bulk.

CIF file:
```
data_KPBr2
_space_group_name_H-M_alt 'C m m m'
_space_group_IT_number 65
_space_group_name_Hall '-C 2 2'
_cell_length_a 4.334
_cell_length_b 13.032
_cell_length_c 8.044
_cell_angle_alpha 90.00
_cell_angle_beta 90.00
_cell_angle_gamma 90.00
loop_
_atom_site_label
_atom_site_fract_x
_atom_site_fract_y
_atom_site_fract_z
K1 0.000 0.000 0.000
P1 0.000 0.000 0.500
Br1 0.000 0.500 0.293
```

* calculated density: 1.680 Mg/m³
* E_form (uncorrected): -0.2450 eV/atom
* crystal system: orthorhombic